[1]
{"formula": "Co6NiMo", "functional": "PBEsol", "state": "optimized geometry", "crystal_system": "orthorhombic", "spacegroup": "Cmmm, No. 65", "e_form_ev_per_atom": 0.03, "m_tot_mub_per_fu": 6.92, "lattice_angstrom": [[6.076, -0.002, 0.000], [-2.054, 5.718, 0.000], [0.000, 0.000, 9.931]], "species": ["Co", "Co", "Co", "Co", "Co", "Co", "Co", "Co", "Co", "Co", "Co", "Co", "Co", "Co", "Co", "Co", "Co", "Co", "Co", "Co", "Co", "Co", "Co", "Co", "Mo", "Mo", "Mo", "Mo", "Ni", "Ni", "Ni", "Ni"], "fractional_positions": [[0.253, 0.747, 0.755], [0.872, 0.618, 0.877], [0.128, 0.382, 0.877], [0.747, 0.253, 0.755], [0.382, 0.128, 0.877], [0.618, 0.872, 0.877], [0.500, 0.500, 0.500], [0.131, 0.377, 0.627], [0.377, 0.131, 0.627], [0.253, 0.747, 0.245], [0.869, 0.623, 0.373], [0.131, 0.377, 0.373], [0.747, 0.253, 0.245], [0.377, 0.131, 0.373], [0.623, 0.869, 0.373], [0.500, 0.500, 0.000], [0.128, 0.382, 0.123], [0.382, 0.128, 0.123], [0.000, 0.000, 0.500], [0.623, 0.869, 0.627], [0.869, 0.623, 0.627], [0.000, 0.000, 0.000], [0.618, 0.872, 0.123], [0.872, 0.618, 0.123], [0.244, 0.756, 0.500], [0.756, 0.244, 0.500], [0.000, 0.000, 0.749], [0.000, 0.000, 0.251], [0.246, 0.754, 0.000], [0.754, 0.246, 0.000], [0.500, 0.500, 0.754], [0.500, 0.500, 0.246]]}

=====

[2]
{"formula": "CoNiMo2", "functional": "PBEsol", "state": "optimized geometry", "polymorph_energy_mev_per_atom": 23.2, "crystal_system": "orthorhombic", "spacegroup": "Pmmm, No. 47", "e_form_ev_per_atom": -0.01, "m_tot_mub_per_fu": 0.00, "lattice_angstrom": [[2.612, 0.000, 0.026], [0.000, 3.692, 0.000], [-0.052, 0.000, 5.213]], "species": ["Ni", "Mo", "Mo", "Co"], "fractional_positions": [[0.500, 0.500, 0.000], [0.000, 0.000, 0.746], [0.000, 0.000, 0.254], [0.500, 0.500, 0.500]]}

=====

[3]
{"formula": "CoNiMo", "functional": "PBEsol", "state": "optimized geometry", "crystal_system": "orthorhombic", "spacegroup": "Imm2, No. 44", "e_form_ev_per_atom": -0.05, "m_tot_mub_per_fu": 0.00, "lattice_angstrom": [[2.574, 0.000, 0.000], [0.000, 3.588, 0.000], [-1.287, -1.794, 3.815]], "species": ["Ni", "Mo", "Co"], "fractional_positions": [[0.663, 0.663, 0.325], [0.334, 0.334, 0.669], [0.003, 0.003, 0.006]]}

=====

[4]
{"formula": "CoNiMo2", "functional": "PBEsol", "state": "optimized geometry", "polymorph_energy_mev_per_atom": 0.0, "crystal_system": "orthorhombic", "spacegroup": "Pmm2, No. 25", "e_form_ev_per_atom": -0.03, "m_tot_mub_per_fu": 0.00, "lattice_angstrom": [[2.610, 0.000, 0.000], [0.000, 4.206, 0.000], [0.000, 0.000, 4.568]], "species": ["Ni", "Mo", "Mo", "Co"], "fractional_positions": [[0.500, 0.000, 0.539], [0.000, 0.000, 0.054], [0.000, 0.500, 0.694], [0.500, 0.500, 0.212]]}

=====

[5]
{"formula": "CoNiMo2", "functional": "PBEsol", "state": "optimized geometry", "polymorph_energy_mev_per_atom": 35.5, "crystal_system": "tetragonal", "spacegroup": "I4/mmm, No. 139", "e_form_ev_per_atom": 0.00, "m_tot_mub_per_fu": 0.43, "lattice_angstrom": [[3.694, 0.000, 0.000], [0.000, 3.694, 0.000], [-1.847, -1.847, 3.694]], "species": ["Ni", "Mo", "Mo", "Co"], "fractional_positions": [[0.500, 0.500, 0.000], [0.750, 0.250, 0.500], [0.250, 0.750, 0.500], [0.000, 0.000, 0.000]]}

=====

[6]
{"formula": "CoNiMo2", "functional": "PBEsol", "state": "optimized geometry", "polymorph_energy_mev_per_atom": 28.3, "crystal_system": "orthorhombic", "spacegroup": "Cmmm, No. 65", "e_form_ev_per_atom": 0.00, "m_tot_mub_per_fu": 0.00, "lattice_angstrom": [[2.617, 0.000, 0.000], [0.000, 4.517, -0.006], [0.000, -1.509, 4.258]], "species": ["Ni", "Mo", "Mo", "Co"], "fractional_positions": [[0.500, 0.500, 0.500], [0.000, 0.000, 0.500], [0.000, 0.500, 0.000], [0.500, 0.000, 0.000]]}